[1]
# Be2AgSb GGA-PBE relaxed
# E_tot: -48.381 eV/cell
# ρ: 4.9 g cm⁻³
# Energy relative to the elements, uncorrected: 56.2 kJ per mole of atoms
# Magnetization: 0.00 μB/cell
data_Be2AgSb
_symmetry_space_group_name_H-M 'I -4 2 d'
_symmetry_Int_Tables_number 122
_symmetry_space_group_name_Hall 'I -4 2bw'
_cell_length_a 5.271
_cell_length_b 5.271
_cell_length_c 12.034
_cell_angle_alpha 90.00
_cell_angle_beta 90.00
_cell_angle_gamma 90.00
loop_
_atom_site_label
_atom_site_fract_x
_atom_site_fract_y
_atom_site_fract_z
Be1 0.247 0.250 0.125
Ag1 0.000 0.000 0.000
Sb1 0.000 0.000 0.500

***

[2]
# SmY6Tm5 GGA-PBE relaxed
# E_tot: -131.056 eV/cell
# ρ: 6.7 g cm⁻³
# Magnetization: 0.00 μB/cell
data_SmY6Tm5
_symmetry_space_group_name_H-M 'C m m m'
_symmetry_Int_Tables_number 65
_symmetry_space_group_name_Hall '-C 2 2'
_cell_length_a 5.005
_cell_length_b 15.047
_cell_length_c 10.008
_cell_angle_alpha 90.00
_cell_angle_beta 90.00
_cell_angle_gamma 90.00
loop_
_atom_site_label
_atom_site_fract_x
_atom_site_fract_y
_atom_site_fract_z
Sm1 0.000 0.000 0.000
Y1 0.000 0.167 0.251
Y2 0.000 0.500 0.252
Tm1 0.000 0.000 0.500
Tm2 0.000 0.332 0.000
Tm3 0.000 0.333 0.500

***

[3]
# PmGa2TeO8 GGA-PBE relaxed
# E_tot: -143.067 eV/cell
# ρ: 5.8 g cm⁻³
# Energy relative to the elements, uncorrected: -144.1 kJ per mole of atoms
# Magnetization: 2.24 μB/cell
data_PmGa2TeO8
_symmetry_space_group_name_H-M 'I -4 m 2'
_symmetry_Int_Tables_number 119
_symmetry_space_group_name_Hall 'I -4 -2'
_cell_length_a 6.888
_cell_length_b 6.888
_cell_length_c 6.550
_cell_angle_alpha 90.00
_cell_angle_beta 90.00
_cell_angle_gamma 90.00
loop_
_atom_site_label
_atom_site_fract_x
_atom_site_fract_y
_atom_site_fract_z
Pm1 0.000 0.000 0.000
Ga1 0.000 0.000 0.500
Ga2 0.000 0.500 0.250
Te1 0.000 0.500 0.750
O1 0.000 0.203 0.691
O2 0.000 0.331 0.032

***

magnetization of number 2 (SmY6Tm5)?
0.00 μB/cell

***

Which value of ρ does entry 1 give?
4.9 g cm⁻³

***

Which formula does entry 3 have?
PmGa2TeO8